Computed, not measured: a geometry-optimized NdYCu2 structure at the PBE level of DFT.

The structure belongs to space group P4/mmm (No. 123); the cell edges are 3.5223, 3.5223 and 7.1229 Å and the angles 90.00°, 90.00° and 90.00°. The asymmetric unit holds Nd at (0.0000, 0.0000, 0.0000), Y at (0.0000, 0.0000, 0.5000) and Cu at (0.5000, 0.5000, 0.2673).

The distance to the lowest polymorph of the same formula comes out at 15 meV/atom. The calculation puts the energy relative to the elements at -193.6 meV/atom. The calculation puts the density of states at the Fermi level at 2.2 states/eV/cell.